# 1
Hg2PdPbI | the Alexandria database | PBE-GGA | relaxed; raw total energy = -11.82 eV per formula unit; E_form (uncorrected) = -0.8 eV/f.u.
1.0
-4.183 -3.225 0.771
0.520 -1.864 -4.975
3.355 -3.916 1.818
Pb I Hg Pd
1 1 2 1
direct
0.000 0.000 0.500
0.500 0.500 0.500
0.000 0.500 0.000
0.500 0.000 0.000
0.000 0.000 0.000

# 2
HgPdPb2I | the Alexandria database | PBE-GGA | relaxed; raw total energy = -15.17 eV per formula unit; E_form (uncorrected) = -0.7 eV/f.u.
1.0
5.428 0.000 0.000
0.000 5.428 0.000
0.000 0.000 5.390
Pb I Hg Pd
2 1 1 1
direct
0.000 0.500 0.000
0.500 0.000 0.000
0.500 0.500 0.500
0.000 0.000 0.500
0.000 0.000 0.000

# 3
HgPtPb2I | the Alexandria database | PBE-GGA | relaxed; raw total energy = -16.12 eV per formula unit; E_form (uncorrected) = -0.8 eV/f.u.
1.0
5.458 0.000 0.000
0.000 5.458 0.000
0.000 0.000 5.389
Pb I Hg Pt
2 1 1 1
direct
0.000 0.500 0.000
0.500 0.000 0.000
0.500 0.500 0.500
0.000 0.000 0.500
0.000 0.000 0.000

# 4
Hg2PtPbI | the Alexandria database | PBE-GGA | relaxed; raw total energy = -12.72 eV per formula unit; E_form (uncorrected) = -0.8 eV/f.u.
1.0
5.351 0.000 0.000
0.000 5.351 0.000
0.000 0.000 5.460
Pb I Hg Pt
1 1 2 1
direct
0.000 0.000 0.500
0.500 0.500 0.500
0.000 0.500 0.000
0.500 0.000 0.000
0.000 0.000 0.000

# 5
RbHgPbI2 | the Alexandria database | PBE-GGA | relaxed; raw total energy = -11.18 eV per formula unit; E_form (uncorrected) = -3.1 eV/f.u.
1.0
6.458 0.000 0.000
0.000 6.458 0.000
0.000 0.000 6.065
Pb I Hg Rb
1 2 1 1
direct
0.000 0.000 0.000
0.000 0.500 0.000
0.500 0.000 0.000
0.000 0.000 0.500
0.500 0.500 0.500

# 6
RbHgPbI3 | the Alexandria database | PBE-GGA | relaxed; raw total energy = -14.11 eV per formula unit; E_form (uncorrected) = -4.5 eV/f.u.
1.0
-5.052 4.063 -0.164
-3.490 -3.934 -3.795
-7.428 -5.754 9.477
Rb Hg Pb I
2 2 2 6
direct
0.683 0.683 0.705
0.317 0.317 0.295
0.194 0.806 0.500
0.806 0.194 0.500
0.191 0.191 0.880
0.809 0.809 0.120
0.270 0.270 0.648
0.145 0.687 0.862
0.687 0.145 0.862
0.313 0.855 0.138
0.855 0.313 0.138
0.730 0.730 0.352

Please write out number 5 again, unchanged.
RbHgPbI2 | the Alexandria database | PBE-GGA | relaxed; raw total energy = -11.18 eV per formula unit; E_form (uncorrected) = -3.1 eV/f.u.
1.0
6.458 0.000 0.000
0.000 6.458 0.000
0.000 0.000 6.065
Pb I Hg Rb
1 2 1 1
direct
0.000 0.000 0.000
0.000 0.500 0.000
0.500 0.000 0.000
0.000 0.000 0.500
0.500 0.500 0.500

raw total energy of number 6 (RbHgPbI3)? -14.11 eV per formula unit

What is the formula in the sixth record? RbHgPbI3